Computed, not measured: an optimized crystal structure of AcMgSnBi at the PBE-GGA level of DFT.

Cell lengths 5.6020, 5.6020, 5.6020 Å; angles 60.00, 60.00, 60.00 degrees
Closest atoms and distances in Å follow each position.
Atoms (fractional coordinates):
Ac (0.0000, 0.0000, 0.0000)  4 Sn 3.43, 4 Bi 3.43
Mg (0.5000, 0.5000, 0.5000)  4 Sn 3.43, 4 Bi 3.43
Sn (0.2500, 0.2500, 0.2500)  4 Ac 3.43, 4 Mg 3.43
Bi (0.7500, 0.7500, 0.7500)  4 Ac 3.43, 4 Mg 3.43

* mass density: 7.7 g cm⁻³
* total energy: -14.9 eV for the cell shown
* space group: No. 216
* formation energy from the elements: -0.34 eV per atom